{
  "formula": "KNdCoSe3",
  "functional": "PBE",
  "state": "relaxed",
  "magmom_total_mub_per_fu": 3.0,
  "rho_g_cm3": 4.87,
  "e_tot_ev_per_fu": -29.914,
  "crystal_system": "orthorhombic",
  "cell": [[10.063, 0.000, 0.000], [0.000, 4.207, 0.000], [0.000, 0.000, 15.440]],
  "species": ["Co", "Co", "Co", "Co", "K", "K", "K", "K", "Nd", "Nd", "Nd", "Nd", "Se", "Se", "Se", "Se", "Se", "Se", "Se", "Se", "Se", "Se", "Se", "Se"],
  "fractional_positions": [[0.144, 0.750, 0.130], [0.644, 0.750, 0.370], [0.356, 0.250, 0.630], [0.856, 0.250, 0.870], [0.448, 0.250, 0.181], [0.948, 0.250, 0.319], [0.052, 0.750, 0.681], [0.552, 0.750, 0.819], [0.824, 0.750, 0.056], [0.324, 0.750, 0.444], [0.676, 0.250, 0.556], [0.176, 0.250, 0.944], [0.328, 0.750, 0.029], [0.021, 0.250, 0.110], [0.708, 0.750, 0.226], [0.208, 0.750, 0.274], [0.521, 0.250, 0.390], [0.828, 0.750, 0.471], [0.172, 0.250, 0.529], [0.479, 0.750, 0.610], [0.792, 0.250, 0.726], [0.292, 0.250, 0.774], [0.979, 0.750, 0.890], [0.672, 0.250, 0.971]]
}

---

{
  "formula": "SrLuBeAu",
  "functional": "PBE",
  "state": "relaxed",
  "magmom_total_mub_per_fu": 0.0,
  "rho_g_cm3": 9.44,
  "e_tot_ev_per_fu": -12.989,
  "crystal_system": "cubic",
  "cell": [[0.000, 3.455, 3.455], [3.455, 0.000, 3.455], [3.455, 3.455, 0.000]],
  "species": ["Au", "Be", "Lu", "Sr"],
  "fractional_positions": [[0.750, 0.750, 0.750], [0.000, 0.000, 0.000], [0.500, 0.500, 0.500], [0.250, 0.250, 0.250]]
}